A PBEsol-optimized structure of MgAgPt2. Source: Alexandria via LeMat-Bulk, functional SCAN.

Cell and atoms, written as POSCAR:
```
MgAgPt2
1.0
3.982 0.000 0.000
0.000 3.982 0.000
-1.991 -1.991 3.925
Mg Ag Pt
1 1 2
Direct
0.500 0.500 0.000
0.000 0.000 0.000
0.750 0.250 0.500
0.250 0.750 0.500
```

Calculated values
* magnetization: 0.00 μB per cell
* Fermi-level density of states: 0.348 states/eV per atom
* SG: I4/mmm, No. 139
* VASP energy: -44.679 eV/atom

A PBEsol-optimized structure of ZrSc2Ta. Source: Alexandria via LeMat-Bulk, functional SCAN.

Cell and atoms, written as POSCAR:
```
ZrSc2Ta
1.0
-0.951 -2.867 -0.040
3.412 -1.169 2.725
-3.512 1.097 4.869
Sc Ta Zr
2 1 1
Direct
0.000 0.000 0.761
0.000 0.000 0.239
0.500 0.500 0.000
0.500 0.500 0.500
```

Calculated values
* magnetization: 0.00 μB per cell
* Fermi-level density of states: 1.232 states/eV per atom
* SG: Pmmm, No. 47
* VASP energy: -31.258 eV/atom

A PBEsol-optimized structure of LiMnAu. Source: Alexandria via LeMat-Bulk, functional SCAN.

Cell and atoms, written as POSCAR:
```
LiMnAu
1.0
4.241 0.000 0.000
2.121 3.673 0.000
2.121 1.224 3.463
Mn Au Li
1 1 1
Direct
0.250 0.250 0.250
0.000 0.000 0.000
0.500 0.500 0.500
```

Calculated values
* magnetization: 4.48 μB per cell
* Fermi-level density of states: 0.403 states/eV per atom
* SG: F-43m, No. 216
* energy relative to the lowest polymorph listed for this composition: 270 meV/atom

A PBEsol-optimized structure of CuSbTe2Os. Source: Alexandria via LeMat-Bulk, functional SCAN.

Cell and atoms, written as POSCAR:
```
CuSbTe2Os
1.0
-0.054 -4.716 -0.691
2.439 -0.642 4.188
-4.237 -0.307 2.420
Te Sb Os Cu
2 1 1 1
Direct
0.000 0.000 0.500
0.000 0.500 0.000
0.500 0.000 0.000
0.500 0.500 0.500
0.000 0.000 0.000
```

Calculated values
* magnetization: 0.00 μB per cell
* Fermi-level density of states: 0.795 states/eV per atom
* SG: P4/mmm, No. 123
* energy relative to the elements, uncorrected: 1.442 eV/atom

A PBEsol-optimized structure of InAg2. Source: Alexandria via LeMat-Bulk, functional SCAN.

Cell and atoms, written as POSCAR:
```
InAg2
1.0
-2.947 3.586 0.814
-1.619 -3.994 -1.906
-1.067 -2.063 5.229
In Ag
2 4
Direct
0.333 0.667 0.750
0.667 0.333 0.250
0.333 0.667 0.250
0.000 0.000 0.000
0.000 0.000 0.500
0.667 0.333 0.750
```

Calculated values
* magnetization: 0.00 μB per cell
* Fermi-level density of states: 0.229 states/eV per atom
* SG: P6_3/mmc, No. 194
* VASP energy: -32.023 eV/atom

A PBEsol-optimized structure of TaBe4Hg. Source: Alexandria via LeMat-Bulk, functional SCAN.

Cell and atoms, written as POSCAR:
```
TaBe4Hg
1.0
4.625 0.000 0.000
2.313 4.006 0.000
2.313 1.335 3.777
Hg Be Ta
1 4 1
Direct
0.750 0.750 0.750
0.369 0.369 0.369
0.894 0.369 0.369
0.369 0.369 0.894
0.369 0.894 0.369
0.000 0.000 0.000
```

Calculated values
* magnetization: 0.00 μB per cell
* Fermi-level density of states: 0.604 states/eV per atom
* SG: F-43m, No. 216
* VASP energy: -25.104 eV/atom

A PBEsol-optimized structure of BaLa. Source: Alexandria via LeMat-Bulk, functional SCAN.

Cell and atoms, written as POSCAR:
```
BaLa
1.0
-3.117 -1.867 0.998
2.821 -3.111 2.993
0.416 6.524 6.390
Ba La
2 2
Direct
0.422 0.250 0.844
0.578 0.750 0.156
0.209 0.250 0.419
0.791 0.750 0.581
```

Calculated values
* magnetization: 0.00 μB per cell
* Fermi-level density of states: 1.533 states/eV per atom
* SG: Cmcm, No. 63
* VASP energy: -41.165 eV/atom

A PBEsol-optimized structure of CrSbSe2Br. Source: Alexandria via LeMat-Bulk, functional SCAN.

Cell and atoms, written as POSCAR:
```
CrSbSe2Br
1.0
-4.328 -0.930 1.816
-1.373 -1.934 -4.263
1.563 -4.377 1.482
Sb Br Se Cr
1 1 2 1
Direct
0.500 0.500 0.500
0.500 0.000 0.000
0.000 0.000 0.500
0.000 0.500 0.000
0.000 0.000 0.000
```

Calculated values
* magnetization: 3.30 μB per cell
* Fermi-level density of states: 0.648 states/eV per atom
* SG: P4/mmm, No. 123
* energy relative to the elements, uncorrected: -0.057 eV/atom

A PBEsol-optimized structure of NiHgP2. Source: Alexandria via LeMat-Bulk, functional SCAN.

Cell and atoms, written as POSCAR:
```
NiHgP2
1.0
3.145 0.000 0.000
1.572 4.616 0.472
1.572 1.304 4.453
P Hg Ni
2 1 1
Direct
0.706 0.794 0.794
0.995 0.005 0.005
0.507 0.493 0.493
0.292 0.208 0.208
```

Calculated values
* magnetization: 0.00 μB per cell
* Fermi-level density of states: 0.552 states/eV per atom
* SG: Imm2, No. 44
* VASP energy: -25.776 eV/atom

A PBEsol-optimized structure of Al3IrO. Source: Alexandria via LeMat-Bulk, functional SCAN.

Cell and atoms, written as POSCAR:
```
Al3IrO
1.0
3.940 0.000 0.000
0.000 3.940 0.000
0.000 0.000 3.940
Al Ir O
3 1 1
Direct
0.000 0.500 0.000
0.500 0.000 0.000
0.000 0.000 0.500
0.500 0.500 0.500
0.000 0.000 0.000
```

Calculated values
* magnetization: 0.00 μB per cell
* Fermi-level density of states: 0.254 states/eV per atom
* SG: Pm-3m, No. 221
* energy relative to the elements, uncorrected: -1.037 eV/atom

A PBEsol-optimized structure of Y3Si2ClO8. Source: Alexandria via LeMat-Bulk, functional SCAN.

Cell and atoms, written as POSCAR:
```
Y3Si2ClO8
1.0
6.154 0.000 0.000
0.000 6.832 0.000
0.000 0.000 17.653
O Y Si Cl
32 12 8 4
Direct
0.468 0.670 0.381
0.032 0.170 0.119
0.721 0.969 0.324
0.708 0.989 0.030
0.445 0.303 0.095
0.445 0.303 0.405
0.945 0.197 0.595
0.221 0.531 0.676
0.055 0.803 0.095
0.532 0.330 0.881
0.708 0.989 0.470
0.292 0.011 0.530
0.721 0.969 0.176
0.292 0.011 0.970
0.532 0.330 0.619
0.555 0.697 0.595
0.792 0.489 0.470
0.208 0.511 0.530
0.055 0.803 0.405
0.208 0.511 0.970
0.032 0.170 0.381
0.468 0.670 0.119
0.279 0.031 0.824
0.221 0.531 0.824
0.792 0.489 0.030
0.555 0.697 0.905
0.968 0.830 0.619
0.279 0.031 0.676
0.779 0.469 0.176
0.779 0.469 0.324
0.945 0.197 0.905
0.968 0.830 0.881
0.127 0.487 0.091
0.873 0.513 0.591
0.627 0.013 0.591
0.373 0.987 0.409
0.886 0.208 0.250
0.386 0.292 0.750
0.873 0.513 0.909
0.373 0.987 0.091
0.114 0.792 0.750
0.627 0.013 0.909
0.127 0.487 0.409
0.614 0.708 0.250
0.122 0.022 0.900
0.622 0.478 0.100
0.878 0.978 0.400
0.378 0.522 0.600
0.122 0.022 0.600
0.878 0.978 0.100
0.622 0.478 0.400
0.378 0.522 0.900
0.242 0.454 0.250
0.742 0.046 0.750
0.758 0.546 0.750
0.258 0.954 0.250
```

Calculated values
* magnetization: 0.00 μB per cell
* Fermi-level density of states: 0.000 states/eV per atom
* SG: Pnma, No. 62
* energy relative to the elements, uncorrected: -3.547 eV/atom

A PBEsol-optimized structure of AlH2IrOs. Source: Alexandria via LeMat-Bulk, functional SCAN.

Cell and atoms, written as POSCAR:
```
AlH2IrOs
1.0
3.432 0.000 0.000
0.000 3.432 0.000
0.000 0.000 4.801
Os H Al Ir
1 2 1 1
Direct
0.000 0.000 0.000
0.500 0.000 0.000
0.000 0.500 0.000
0.000 0.000 0.500
0.500 0.500 0.500
```

Calculated values
* magnetization: 0.00 μB per cell
* Fermi-level density of states: 0.704 states/eV per atom
* SG: P4/mmm, No. 123
* VASP energy: -30.782 eV/atom

A PBEsol-optimized structure of Cr2AgS4. Source: Alexandria via LeMat-Bulk, functional SCAN.

Cell and atoms, written as POSCAR:
```
Cr2AgS4
1.0
-1.856 -2.789 0.676
3.944 -3.298 -2.780
2.844 -0.582 5.412
S Ag Cr
4 1 2
Direct
0.500 0.821 0.785
0.500 0.179 0.215
0.000 0.672 0.211
0.000 0.328 0.789
0.000 0.000 0.500
0.000 0.000 0.000
0.500 0.500 0.000
```

Calculated values
* magnetization: 5.19 μB per cell
* Fermi-level density of states: 0.523 states/eV per atom
* SG: P2/m, No. 10
* energy relative to the elements, uncorrected: -0.774 eV/atom

A PBEsol-optimized structure of Ba2PtSe. Source: Alexandria via LeMat-Bulk, functional SCAN.

Cell and atoms, written as POSCAR:
```
Ba2PtSe
1.0
4.563 0.000 0.000
2.282 3.952 0.000
2.282 1.317 7.472
Ba Pt Se
2 1 1
Direct
0.753 0.753 0.742
0.247 0.247 0.258
0.500 0.500 0.500
0.000 0.000 0.000
```

Calculated values
* magnetization: 0.00 μB per cell
* Fermi-level density of states: 0.000 states/eV per atom
* SG: R-3m, No. 166
* energy relative to the elements, uncorrected: -1.513 eV/atom

A PBEsol-optimized structure of YNi2Os. Source: Alexandria via LeMat-Bulk, functional SCAN.

Cell and atoms, written as POSCAR:
```
YNi2Os
1.0
4.105 0.000 0.000
2.052 3.555 0.000
2.052 1.185 4.541
Ni Y Os
2 1 1
Direct
0.802 0.802 0.593
0.198 0.198 0.407
0.000 0.000 0.000
0.500 0.500 0.500
```

Calculated values
* magnetization: 0.99 μB per cell
* Fermi-level density of states: 0.694 states/eV per atom
* SG: R-3m, No. 166
* energy relative to the lowest polymorph listed for this composition: 0 meV/atom

A PBEsol-optimized structure of Co3TcO. Source: Alexandria via LeMat-Bulk, functional SCAN.

Cell and atoms, written as POSCAR:
```
Co3TcO
1.0
-1.312 -2.219 -2.730
0.594 -3.011 2.163
-3.468 0.324 1.403
Co Tc O
3 1 1
Direct
0.500 0.000 0.000
0.000 0.500 0.000
0.000 0.000 0.500
0.500 0.500 0.500
0.000 0.000 0.000
```

Calculated values
* magnetization: 6.13 μB per cell
* Fermi-level density of states: 0.405 states/eV per atom
* SG: Pm-3m, No. 221
* energy relative to the elements, uncorrected: 0.097 eV/atom
* energy relative to the lowest polymorph listed for this composition: 0 meV/atom

A PBEsol-optimized structure of KB5H8O12. Source: Alexandria via LeMat-Bulk, functional SCAN.

Cell and atoms, written as POSCAR:
```
KB5H8O12
1.0
-2.403 -6.468 -1.483
3.311 -1.261 6.104
-9.226 2.177 5.455
K O B H
2 24 10 16
Direct
0.506 0.506 0.500
0.006 0.006 0.000
0.084 0.940 0.417
0.086 0.435 0.484
0.892 0.941 0.237
0.940 0.084 0.583
0.405 0.055 0.747
0.435 0.086 0.516
0.908 0.733 0.568
0.980 0.221 0.785
0.055 0.405 0.253
0.733 0.908 0.432
0.440 0.584 0.917
0.584 0.440 0.083
0.233 0.408 0.068
0.480 0.721 0.715
0.586 0.935 0.016
0.905 0.555 0.753
0.935 0.586 0.984
0.555 0.905 0.247
0.441 0.392 0.737
0.941 0.892 0.763
0.392 0.441 0.263
0.408 0.233 0.932
0.721 0.480 0.285
0.221 0.980 0.215
0.726 0.917 0.307
0.917 0.726 0.693
0.416 0.416 0.000
0.453 0.570 0.793
0.417 0.226 0.807
0.570 0.453 0.207
0.070 0.953 0.293
0.953 0.070 0.707
0.916 0.916 0.500
0.226 0.417 0.193
0.310 0.025 0.477
0.538 0.017 0.487
0.915 0.572 0.848
0.810 0.525 0.023
0.072 0.415 0.348
0.025 0.310 0.523
0.850 0.460 0.253
0.038 0.517 0.013
0.017 0.538 0.513
0.960 0.350 0.753
0.460 0.850 0.747
0.415 0.072 0.652
0.517 0.038 0.987
0.525 0.810 0.977
0.350 0.960 0.247
0.572 0.915 0.152
```

Calculated values
* magnetization: 0.00 μB per cell
* Fermi-level density of states: 0.000 states/eV per atom
* SG: Aea2, No. 41
* VASP energy: -7.600 eV/atom

A PBEsol-optimized structure of Y2HgAu. Source: Alexandria via LeMat-Bulk, functional SCAN.

Cell and atoms, written as POSCAR:
```
Y2HgAu
1.0
-0.388 0.487 -3.572
4.466 -1.592 -0.702
-3.922 -4.516 1.651
Y Hg Au
2 1 1
Direct
0.779 0.279 0.557
0.000 0.000 0.000
0.219 0.719 0.437
0.503 0.503 0.006
```

Calculated values
* magnetization: 0.00 μB per cell
* Fermi-level density of states: 0.871 states/eV per atom
* SG: Imm2, No. 44
* VASP energy: -48.997 eV/atom

A PBEsol-optimized structure of BaSb4W. Source: Alexandria via LeMat-Bulk, functional SCAN.

Cell and atoms, written as POSCAR:
```
BaSb4W
1.0
6.228 0.000 0.000
3.114 5.394 0.000
3.114 1.798 5.085
Ba Sb W
1 4 1
Direct
0.000 0.000 0.000
0.377 0.377 0.870
0.377 0.377 0.377
0.870 0.377 0.377
0.377 0.870 0.377
0.750 0.750 0.750
```

Calculated values
* magnetization: 4.38 μB per cell
* Fermi-level density of states: 0.802 states/eV per atom
* SG: F-43m, No. 216
* energy relative to the elements, uncorrected: 0.705 eV/atom

A PBEsol-optimized structure of Mg2ZrRe. Source: Alexandria via LeMat-Bulk, functional SCAN.

Cell and atoms, written as POSCAR:
```
Mg2ZrRe
1.0
-1.682 0.763 -2.105
-0.516 -5.373 0.097
-2.662 2.723 4.161
Mg Zr Re
2 1 1
Direct
0.000 0.000 0.500
0.500 0.500 0.500
0.000 0.500 0.000
0.500 0.000 0.000
```

Calculated values
* magnetization: 0.00 μB per cell
* Fermi-level density of states: 0.766 states/eV per atom
* SG: C2/m, No. 12
* energy relative to the lowest polymorph listed for this composition: 175 meV/atom

A PBEsol-optimized structure of Ta2CoAs. Source: Alexandria via LeMat-Bulk, functional SCAN.

Cell and atoms, written as POSCAR:
```
Ta2CoAs
1.0
-2.703 -0.508 0.886
1.461 -2.118 1.315
1.088 4.364 5.822
Ta Co As
2 1 1
Direct
0.000 0.000 0.236
0.000 0.000 0.764
0.500 0.500 0.000
0.500 0.500 0.500
```

Calculated values
* magnetization: 0.83 μB per cell
* Fermi-level density of states: 0.654 states/eV per atom
* SG: Cmmm, No. 65
* VASP energy: -42.720 eV/atom

A PBEsol-optimized structure of CsBaH2Rh. Source: Alexandria via LeMat-Bulk, functional SCAN.

Cell and atoms, written as POSCAR:
```
CsBaH2Rh
1.0
-0.181 4.229 -2.029
-0.859 -2.026 -4.146
-8.180 0.375 1.512
H Ba Cs Rh
2 1 1 1
Direct
0.500 0.000 0.000
0.000 0.500 0.000
0.000 0.000 0.000
0.000 0.000 0.500
0.500 0.500 0.500
```

Calculated values
* magnetization: 1.91 μB per cell
* Fermi-level density of states: 0.525 states/eV per atom
* SG: P4/mmm, No. 123
* VASP energy: -22.892 eV/atom

A PBEsol-optimized structure of TlZnI3. Source: Alexandria via LeMat-Bulk, functional SCAN.

Cell and atoms, written as POSCAR:
```
TlZnI3
1.0
5.897 0.000 0.000
0.000 5.897 0.000
0.000 0.000 5.897
I Tl Zn
3 1 1
Direct
0.500 0.000 0.000
0.000 0.500 0.000
0.000 0.000 0.500
0.000 0.000 0.000
0.500 0.500 0.500
```

Calculated values
* magnetization: 0.33 μB per cell
* Fermi-level density of states: 0.414 states/eV per atom
* SG: Pm-3m, No. 221
* energy relative to the elements, uncorrected: 0.143 eV/atom